[1]
VASP calculation (PBE) on a relaxed GdTm4Th crystal.

Lattice parameters (Å, degrees): 6.4963 6.4963 6.4963 60.00 60.00 60.00
Sites, in units of the cell vectors:
Gd1 0.0000 0.0000 0.0000
Tm1 0.1260 0.6247 0.6247
Tm2 0.6247 0.1260 0.6247
Tm3 0.6247 0.6247 0.1260
Tm4 0.6247 0.6247 0.6247
Th1 0.2500 0.2500 0.2500

The volume is 193.9 Å³/cell. As for the formation energy: 0.297 eV/atom. The raw total energy comes out at -37.6 eV per cell. Its spin magnetization is 10.29 Bohr magnetons per cell.

[2]
VASP calculation (PBE) on a relaxed ZrMn2Fe2 crystal.

Lattice parameters (Å, degrees): 3.7606 3.7606 9.4559 90.00 90.00 90.00
Sites, in units of the cell vectors:
Zr1 0.0000 0.0000 0.0000
Zr2 0.5000 0.5000 0.5000
Mn1 0.0000 0.5000 0.2500
Mn2 0.0000 0.5000 0.7500
Mn3 0.5000 0.0000 0.2500
Mn4 0.5000 0.0000 0.7500
Fe1 0.0000 0.0000 0.3862
Fe2 0.0000 0.0000 0.6138
Fe3 0.5000 0.5000 0.1138
Fe4 0.5000 0.5000 0.8862

The volume is 133.7 Å³/cell. As for the formation energy: 0.027 eV/atom. The raw total energy comes out at -87.4 eV per cell. Its spin magnetization is 0.00 Bohr magnetons per cell.

[3]
VASP calculation (PBE) on a relaxed Cs2PmBO4 crystal.

Lattice parameters (Å, degrees): 13.7499 12.6580 6.5414 85.17 66.54 28.30
Sites, in units of the cell vectors:
Cs1 0.0543 0.0543 0.6957
Cs2 0.3043 0.3043 0.9457
Cs3 0.6957 0.6957 0.0543
Cs4 0.9457 0.9457 0.3043
Pm1 0.1250 0.1250 0.1250
Pm2 0.8750 0.8750 0.8750
B1 0.3750 0.3750 0.3750
B2 0.6250 0.6250 0.6250
O1 0.1001 0.5784 0.4965
O2 0.3249 0.4965 0.5784
O3 0.4216 0.8999 0.6751
O4 0.4965 0.3249 0.1001
O5 0.5035 0.6751 0.8999
O6 0.5784 0.1001 0.3249
O7 0.6751 0.5035 0.4216
O8 0.8999 0.4216 0.5035

The uncorrected formation energy comes out at -2.026 eV/atom. The volume is 391.4 Å³/cell. The raw total energy comes out at -98.4 eV per cell. Its spin magnetization is 0.00 Bohr magnetons per cell.

Q: Look up the volume of the third one.
A: 391.4 Å³/cell

Q: Which of these has the highest volume?
A: Cs2PmBO4

Copy entry 1 word for word.
VASP calculation (PBE) on a relaxed GdTm4Th crystal.

Lattice parameters (Å, degrees): 6.4963 6.4963 6.4963 60.00 60.00 60.00
Sites, in units of the cell vectors:
Gd1 0.0000 0.0000 0.0000
Tm1 0.1260 0.6247 0.6247
Tm2 0.6247 0.1260 0.6247
Tm3 0.6247 0.6247 0.1260
Tm4 0.6247 0.6247 0.6247
Th1 0.2500 0.2500 0.2500

The volume is 193.9 Å³/cell. As for the formation energy: 0.297 eV/atom. The raw total energy comes out at -37.6 eV per cell. Its spin magnetization is 10.29 Bohr magnetons per cell.